(1)
## Ba2LaOs (PBE)

Data for crystalline Ba2LaOs at its relaxed geometry.

abc: 7.887 7.887 7.887
angles: 90.00 90.00 90.00
Sites, in units of the cell vectors:
Ba1 0.000 0.000 0.000
Ba2 0.000 0.500 0.500
Ba3 0.250 0.250 0.250
Ba4 0.250 0.750 0.750
Ba5 0.500 0.000 0.500
Ba6 0.500 0.500 0.000
Ba7 0.750 0.250 0.750
Ba8 0.750 0.750 0.250
La1 0.250 0.250 0.750
La2 0.250 0.750 0.250
La3 0.750 0.250 0.250
La4 0.750 0.750 0.750
Os1 0.000 0.000 0.500
Os2 0.000 0.500 0.000
Os3 0.500 0.000 0.000
Os4 0.500 0.500 0.500

* relative energy among the computed polymorphs: 451 meV/atom
* space group: F-43m, No. 216

(2)
## GdMgIn2 (PBE)

Data for crystalline GdMgIn2 at its relaxed geometry.

abc: 4.657 4.657 4.546
angles: 90.00 90.00 90.00
Sites, in units of the cell vectors:
Gd1 0.000 0.000 0.000
Mg1 0.500 0.500 0.000
In1 0.000 0.500 0.500
In2 0.500 0.000 0.500

* space group: P4/mmm, No. 123

| no. | Fermi-level density of states (states/eV per cell) | raw total energy (eV per formula unit) |
| --- | --- | --- |
| 1 | 18.9 | -17.4 |
| 2 | 2.2 | -22.8 |